1.
! Na2ZnBi2 GGA-PBEsol relaxed; values from VASP
! Volume (Å³/f.u.): 143.1
! E_form (eV/atom): -0.170
! Space group: P4/mbm (127)
! Total magnetization (μB/atom): 0.0000
&SYSTEM
  ibrav = 0, nat = 10, ntyp = 3
/
ATOMIC_SPECIES
Na 22.99 Na.upf
Zn 65.41 Zn.upf
Bi 208.98 Bi.upf
ATOMIC_POSITIONS crystal
Na 0.162 0.338 0.000
Na 0.338 0.838 0.000
Na 0.662 0.162 0.000
Na 0.838 0.662 0.000
Zn 0.000 0.000 0.500
Zn 0.500 0.500 0.500
Bi 0.151 0.651 0.500
Bi 0.349 0.151 0.500
Bi 0.651 0.849 0.500
Bi 0.849 0.349 0.500
CELL_PARAMETERS angstrom
7.438 0.000 0.000
0.000 7.438 0.000
0.000 0.000 5.173

2.
! Na2ZrBi2 GGA-PBEsol relaxed; values from VASP
! Volume (Å³/f.u.): 128.9
! E_form (eV/atom): -0.039
! Space group: P4/mbm (127)
! Total magnetization (μB/atom): 0.0000
&SYSTEM
  ibrav = 0, nat = 10, ntyp = 3
/
ATOMIC_SPECIES
Na 22.99 Na.upf
Zr 91.22 Zr.upf
Bi 208.98 Bi.upf
ATOMIC_POSITIONS crystal
Na 0.120 0.380 0.000
Na 0.380 0.880 0.000
Na 0.620 0.120 0.000
Na 0.880 0.620 0.000
Zr 0.000 0.000 0.500
Zr 0.500 0.500 0.500
Bi 0.182 0.682 0.500
Bi 0.318 0.182 0.500
Bi 0.682 0.818 0.500
Bi 0.818 0.318 0.500
CELL_PARAMETERS angstrom
8.571 0.000 0.000
0.000 8.571 0.000
0.000 0.000 3.509

3.
! Na3ZrBi GGA-PBEsol relaxed; values from VASP
! Volume (Å³/f.u.): 187.9
! E_form (eV/atom): 0.865
! Space group: Pm-3m (221)
! Total magnetization (μB/atom): 0.6495
&SYSTEM
  ibrav = 0, nat = 5, ntyp = 3
/
ATOMIC_SPECIES
Na 22.99 Na.upf
Zr 91.22 Zr.upf
Bi 208.98 Bi.upf
ATOMIC_POSITIONS crystal
Na 0.000 0.000 0.500
Na 0.000 0.500 0.000
Na 0.500 0.000 0.000
Zr 0.500 0.500 0.500
Bi 0.000 0.000 0.000
CELL_PARAMETERS angstrom
5.727 0.000 0.000
0.000 5.727 0.000
0.000 0.000 5.727

4.
! Na2ZrBi GGA-PBEsol relaxed; values from VASP
! Volume (Å³/f.u.): 112.0
! E_form (eV/atom): 0.423
! Space group: I-42d (122)
! Total magnetization (μB/atom): 0.0003
&SYSTEM
  ibrav = 0, nat = 8, ntyp = 3
/
ATOMIC_SPECIES
Na 22.99 Na.upf
Zr 91.22 Zr.upf
Bi 208.98 Bi.upf
ATOMIC_POSITIONS crystal
Na 0.105 0.625 0.980
Na 0.375 0.355 0.480
Na 0.645 0.125 0.020
Na 0.875 0.895 0.520
Zr 0.250 0.750 0.500
Zr 0.500 0.500 0.000
Bi 0.000 0.000 0.000
Bi 0.750 0.250 0.500
CELL_PARAMETERS angstrom
-4.392 4.392 2.903
4.392 -4.392 2.903
4.392 4.392 -2.903

5.
! NaZr3Bi GGA-PBEsol relaxed; values from VASP
! Volume (Å³/f.u.): 120.4
! E_form (eV/atom): 1.159
! Space group: Pm-3m (221)
! Total magnetization (μB/atom): 0.0046
&SYSTEM
  ibrav = 0, nat = 5, ntyp = 3
/
ATOMIC_SPECIES
Na 22.99 Na.upf
Zr 91.22 Zr.upf
Bi 208.98 Bi.upf
ATOMIC_POSITIONS crystal
Na 0.000 0.000 0.000
Zr 0.000 0.000 0.500
Zr 0.000 0.500 0.000
Zr 0.500 0.000 0.000
Bi 0.500 0.500 0.500
CELL_PARAMETERS angstrom
4.939 0.000 0.000
0.000 4.939 0.000
0.000 0.000 4.939

6.
! Nb3Bi GGA-PBEsol relaxed; values from VASP
! Volume (Å³/f.u.): 75.2
! E_form (eV/atom): -0.029
! Space group: Pm-3n (223)
! Total magnetization (μB/atom): 0.0000
&SYSTEM
  ibrav = 0, nat = 8, ntyp = 2
/
ATOMIC_SPECIES
Nb 92.91 Nb.upf
Bi 208.98 Bi.upf
ATOMIC_POSITIONS crystal
Nb 0.000 0.250 0.500
Nb 0.000 0.750 0.500
Nb 0.250 0.500 0.000
Nb 0.500 0.000 0.250
Nb 0.500 0.000 0.750
Nb 0.750 0.500 0.000
Bi 0.000 0.000 0.000
Bi 0.500 0.500 0.500
CELL_PARAMETERS angstrom
5.318 0.000 0.000
0.000 5.318 0.000
0.000 0.000 5.318

7.
! NdTiNbBi2O9 GGA-PBEsol relaxed; values from VASP
! Volume (Å³/f.u.): 184.3
! Space group: P2_1 (4)
! ΔE_f (raw) (meV per atom): -2441
! Total magnetization (μB/atom): 0.0000
&SYSTEM
  ibrav = 0, nat = 28, ntyp = 5
/
ATOMIC_SPECIES
Nd 144.24 Nd.upf
Ti 47.87 Ti.upf
Nb 92.91 Nb.upf
Bi 208.98 Bi.upf
O 16.00 O.upf
ATOMIC_POSITIONS crystal
Nd 0.244 0.000 0.000
Nd 0.756 0.500 0.000
Ti 0.332 0.530 0.171
Ti 0.668 0.030 0.829
Nb 0.174 0.533 0.828
Nb 0.826 0.033 0.172
Bi 0.024 0.966 0.602
Bi 0.427 0.957 0.397
Bi 0.573 0.457 0.603
Bi 0.976 0.466 0.398
O 0.021 0.534 0.683
O 0.029 0.766 0.124
O 0.094 0.269 0.125
O 0.244 0.730 0.502
O 0.259 0.230 0.502
O 0.326 0.561 0.999
O 0.329 0.545 0.311
O 0.366 0.850 0.828
O 0.473 0.344 0.828
O 0.527 0.844 0.172
O 0.634 0.350 0.172
O 0.671 0.045 0.689
O 0.674 0.061 0.001
O 0.741 0.730 0.498
O 0.756 0.230 0.498
O 0.906 0.769 0.875
O 0.971 0.266 0.876
O 0.979 0.034 0.317
CELL_PARAMETERS angstrom
5.418 0.000 0.000
0.000 5.433 0.000
-2.612 0.000 12.520

8.
! NbSiNi2Bi GGA-PBEsol relaxed; values from VASP
! Volume (Å³/f.u.): 108.8
! Space group: P4/mmm (123)
! ΔE_f (raw) (meV per atom): 1480
! Total magnetization (μB/atom): 0.0000
&SYSTEM
  ibrav = 0, nat = 5, ntyp = 4
/
ATOMIC_SPECIES
Nb 92.91 Nb.upf
Si 28.09 Si.upf
Ni 58.69 Ni.upf
Bi 208.98 Bi.upf
ATOMIC_POSITIONS crystal
Nb 0.000 0.000 0.000
Si 0.500 0.500 0.000
Ni 0.000 0.500 0.500
Ni 0.500 0.000 0.500
Bi 0.000 0.000 0.500
CELL_PARAMETERS angstrom
4.539 0.000 0.000
0.000 4.539 0.000
0.000 0.000 5.282

9.
! NbBiO4 GGA-PBEsol relaxed; values from VASP
! Volume (Å³/f.u.): 83.8
! Space group: Pnna (52)
! ΔE_f (raw) (meV per atom): -2052
! Total magnetization (μB/atom): 0.0000
&SYSTEM
  ibrav = 0, nat = 24, ntyp = 3
/
ATOMIC_SPECIES
Nb 92.91 Nb.upf
Bi 208.98 Bi.upf
O 16.00 O.upf
ATOMIC_POSITIONS crystal
Nb 0.150 0.250 0.250
Nb 0.350 0.750 0.250
Nb 0.650 0.250 0.750
Nb 0.850 0.750 0.750
Bi 0.250 0.000 0.725
Bi 0.250 0.500 0.775
Bi 0.750 0.000 0.275
Bi 0.750 0.500 0.225
O 0.078 0.099 0.418
O 0.078 0.401 0.082
O 0.143 0.691 0.506
O 0.143 0.809 0.994
O 0.357 0.191 0.994
O 0.357 0.309 0.506
O 0.422 0.599 0.082
O 0.422 0.901 0.418
O 0.578 0.099 0.582
O 0.578 0.401 0.918
O 0.643 0.691 0.494
O 0.643 0.809 0.006
O 0.857 0.191 0.006
O 0.857 0.309 0.494
O 0.922 0.599 0.918
O 0.922 0.901 0.582
CELL_PARAMETERS angstrom
5.727 0.000 0.000
0.000 11.659 0.000
0.000 0.000 5.020

10.
! NbBiO4 GGA-PBEsol relaxed; values from VASP
! Volume (Å³/f.u.): 93.6
! Space group: C2 (5)
! ΔE_f (raw) (meV per atom): -1975
! Total magnetization (μB/atom): 0.0000
&SYSTEM
  ibrav = 0, nat = 6, ntyp = 3
/
ATOMIC_SPECIES
Nb 92.91 Nb.upf
Bi 208.98 Bi.upf
O 16.00 O.upf
ATOMIC_POSITIONS crystal
Nb 0.000 0.000 0.000
Bi 0.363 0.637 0.500
O 0.051 0.467 0.051
O 0.218 0.066 0.352
O 0.533 0.949 0.949
O 0.934 0.782 0.648
CELL_PARAMETERS angstrom
3.010 -2.857 0.000
3.010 2.857 0.000
-2.185 0.000 5.444

11.
! NbBiO4 GGA-PBEsol relaxed; values from VASP
! Volume (Å³/f.u.): 81.4
! Space group: P-1 (2)
! ΔE_f (raw) (meV per atom): -2063
! Total magnetization (μB/atom): 0.0000
&SYSTEM
  ibrav = 0, nat = 24, ntyp = 3
/
ATOMIC_SPECIES
Nb 92.91 Nb.upf
Bi 208.98 Bi.upf
O 16.00 O.upf
ATOMIC_POSITIONS crystal
Nb 0.220 0.346 0.179
Nb 0.249 0.325 0.679
Nb 0.751 0.675 0.321
Nb 0.780 0.654 0.821
Bi 0.235 0.878 0.120
Bi 0.289 0.831 0.621
Bi 0.711 0.169 0.379
Bi 0.765 0.122 0.880
O 0.010 0.895 0.825
O 0.039 0.828 0.368
O 0.088 0.558 0.717
O 0.140 0.324 0.942
O 0.317 0.331 0.445
O 0.431 0.552 0.208
O 0.448 0.108 0.676
O 0.462 0.157 0.136
O 0.538 0.843 0.864
O 0.552 0.892 0.324
O 0.569 0.448 0.792
O 0.683 0.669 0.555
O 0.860 0.676 0.058
O 0.912 0.442 0.283
O 0.961 0.172 0.632
O 0.990 0.105 0.175
CELL_PARAMETERS angstrom
5.516 0.000 0.000
-0.364 7.656 0.000
-0.005 -1.513 7.711

12.
! Nb3Bi5O15 GGA-PBEsol relaxed; values from VASP
! Volume (Å³/f.u.): 328.7
! Space group: Pnc2 (30)
! ΔE_f (raw) (meV per atom): -1868
! Total magnetization (μB/atom): 0.0000
&SYSTEM
  ibrav = 0, nat = 46, ntyp = 3
/
ATOMIC_SPECIES
Nb 92.91 Nb.upf
Bi 208.98 Bi.upf
O 16.00 O.upf
ATOMIC_POSITIONS crystal
Nb 0.000 0.000 0.000
Nb 0.000 0.500 0.500
Nb 0.392 0.001 0.475
Nb 0.392 0.499 0.975
Nb 0.608 0.501 0.975
Nb 0.608 0.999 0.475
Bi 0.123 0.519 0.058
Bi 0.123 0.981 0.558
Bi 0.242 0.011 0.023
Bi 0.242 0.489 0.523
Bi 0.500 0.000 0.053
Bi 0.500 0.500 0.553
Bi 0.758 0.511 0.523
Bi 0.758 0.989 0.023
Bi 0.877 0.019 0.558
Bi 0.877 0.481 0.058
O 0.023 0.245 0.711
O 0.023 0.255 0.211
O 0.087 0.602 0.435
O 0.087 0.898 0.935
O 0.189 0.247 0.769
O 0.189 0.253 0.269
O 0.193 0.750 0.257
O 0.193 0.750 0.757
O 0.309 0.019 0.469
O 0.309 0.481 0.969
O 0.409 0.718 0.678
O 0.409 0.782 0.178
O 0.414 0.246 0.712
O 0.414 0.254 0.212
O 0.500 0.000 0.440
O 0.500 0.500 0.940
O 0.586 0.746 0.212
O 0.586 0.754 0.712
O 0.591 0.218 0.178
O 0.591 0.282 0.678
O 0.691 0.519 0.969
O 0.691 0.981 0.469
O 0.807 0.250 0.257
O 0.807 0.250 0.757
O 0.811 0.747 0.269
O 0.811 0.753 0.769
O 0.913 0.102 0.935
O 0.913 0.398 0.435
O 0.977 0.745 0.211
O 0.977 0.755 0.711
CELL_PARAMETERS angstrom
21.603 0.000 0.000
0.000 5.476 0.000
0.000 0.000 5.558

no.,calculated total energy (eV/atom)
1,-2.7606
2,-4.1308
3,-2.6497
4,-3.6204
5,-5.4316
6,-9.2162
7,-8.1646
8,-5.1539
9,-8.0693
10,-7.9922
11,-8.0801
12,-7.6350